1.
Below is La2Tb4Nd3 after structural relaxation, with properties calculated at the PBE level.

Unit cell a=5.169 b=6.287 c=10.957 alpha=73.71 beta=90.00 gamma=65.80
Sites, in units of the cell vectors:
La (0.166, 0.167, 0.220)
La (0.834, 0.833, 0.780)
Tb (0.166, 0.168, 0.888)
Tb (0.499, 0.502, 0.665)
Tb (0.501, 0.498, 0.335)
Tb (0.834, 0.832, 0.112)
Nd (0.167, 0.167, 0.558)
Nd (0.500, 0.500, 0.000)
Nd (0.833, 0.833, 0.442)

Computed properties:
Theoretical density in Mg/m³: 7.23
Symmetry: P-1 (2)
Calculated formation energy in eV/atom: 0.0223
Total DFT energy (no corrections) in eV for the cell shown: -42.48
Distance to the lowest polymorph of the same formula in eV/atom: 0.000

=====

2.
Below is Tb2AlGa4Pd3 after structural relaxation, with properties calculated at the PBE level.

Unit cell a=4.076 b=4.076 c=11.301 alpha=90.00 beta=90.00 gamma=90.00
Sites, in units of the cell vectors:
Tb (0.000, 0.500, 0.249)
Tb (0.500, 0.000, 0.751)
Al (0.000, 0.000, 0.500)
Ga (0.000, 0.000, 0.000)
Ga (0.000, 0.500, 0.641)
Ga (0.500, 0.000, 0.359)
Ga (0.500, 0.500, 0.000)
Pd (0.000, 0.500, 0.860)
Pd (0.500, 0.000, 0.140)
Pd (0.500, 0.500, 0.500)

Computed properties:
Theoretical density in Mg/m³: 8.34
Symmetry: P-4m2 (115)
Calculated formation energy in eV/atom: -0.7490
Total DFT energy (no corrections) in eV for the cell shown: -48.18

=====

3.
Below is Sm9DyTm2 after structural relaxation, with properties calculated at the PBE level.

Unit cell a=5.086 b=5.086 c=15.255 alpha=90.00 beta=90.00 gamma=90.00
Sites, in units of the cell vectors:
Sm (0.000, 0.000, 0.000)
Sm (0.000, 0.000, 0.334)
Sm (0.000, 0.000, 0.666)
Sm (0.000, 0.500, 0.167)
Sm (0.000, 0.500, 0.500)
Sm (0.000, 0.500, 0.833)
Sm (0.500, 0.000, 0.167)
Sm (0.500, 0.000, 0.500)
Sm (0.500, 0.000, 0.833)
Dy (0.500, 0.500, 0.000)
Tm (0.500, 0.500, 0.334)
Tm (0.500, 0.500, 0.666)

Computed properties:
Theoretical density in Mg/m³: 7.80
Symmetry: P4/mmm (123)
Calculated formation energy in eV/atom: 0.0183
Total DFT energy (no corrections) in eV for the cell shown: -55.80

=====

4.
Below is RbCd2Pd after structural relaxation, with properties calculated at the PBE level.

Unit cell a=6.954 b=6.954 c=6.954 alpha=40.26 beta=40.26 gamma=40.26
Sites, in units of the cell vectors:
Rb (0.000, 0.000, 0.000)
Cd (0.194, 0.194, 0.194)
Cd (0.806, 0.806, 0.806)
Pd (0.500, 0.500, 0.500)

Computed properties:
Theoretical density in Mg/m³: 5.46
Symmetry: R-3m (166)
Calculated formation energy in eV/atom: -0.1818
Total DFT energy (no corrections) in eV for the cell shown: -8.72
Distance to the lowest polymorph of the same formula in eV/atom: 0.000

=====

5.
Below is CuBi2Au2 after structural relaxation, with properties calculated at the PBE level.

Unit cell a=7.563 b=7.563 c=4.241 alpha=90.00 beta=90.00 gamma=90.00
Sites, in units of the cell vectors:
Cu (0.000, 0.000, 0.000)
Cu (0.500, 0.500, 0.000)
Bi (0.178, 0.322, 0.000)
Bi (0.322, 0.822, 0.000)
Bi (0.678, 0.178, 0.000)
Bi (0.822, 0.678, 0.000)
Au (0.132, 0.632, 0.500)
Au (0.368, 0.132, 0.500)
Au (0.632, 0.868, 0.500)
Au (0.868, 0.368, 0.500)

Computed properties:
Theoretical density in Mg/m³: 11.99
Symmetry: P4/mbm (127)
Calculated formation energy in eV/atom: 0.1930
Total DFT energy (no corrections) in eV for the cell shown: -34.90
Distance to the lowest polymorph of the same formula in eV/atom: 0.090

=====

6.
Below is Li7SnHg3 after structural relaxation, with properties calculated at the PBE level.

Unit cell a=13.675 b=13.675 c=10.553 alpha=90.00 beta=90.00 gamma=167.02
Sites, in units of the cell vectors:
Li (0.036, 0.964, 0.750)
Li (0.048, 0.952, 0.026)
Li (0.048, 0.952, 0.474)
Li (0.141, 0.859, 0.116)
Li (0.141, 0.859, 0.384)
Li (0.208, 0.792, 0.594)
Li (0.208, 0.792, 0.906)
Li (0.792, 0.208, 0.094)
Li (0.792, 0.208, 0.406)
Li (0.859, 0.141, 0.616)
Li (0.859, 0.141, 0.884)
Li (0.952, 0.048, 0.526)
Li (0.952, 0.048, 0.974)
Li (0.964, 0.036, 0.250)
Sn (0.440, 0.560, 0.750)
Sn (0.560, 0.440, 0.250)
Hg (0.288, 0.712, 0.750)
Hg (0.381, 0.619, 0.111)
Hg (0.381, 0.619, 0.389)
Hg (0.619, 0.381, 0.611)
Hg (0.619, 0.381, 0.889)
Hg (0.712, 0.288, 0.250)

Computed properties:
Theoretical density in Mg/m³: 5.76
Symmetry: Cmcm (63)
Calculated formation energy in eV/atom: -0.2320
Total DFT energy (no corrections) in eV for the cell shown: -41.71

=====

7.
Below is Cd2SiCl after structural relaxation, with properties calculated at the PBE level.

Unit cell a=7.308 b=7.308 c=4.200 alpha=90.03 beta=90.03 gamma=25.94
Sites, in units of the cell vectors:
Cd (0.000, 0.000, 0.000)
Cd (0.209, 0.209, 0.502)
Si (0.554, 0.554, 0.500)
Cl (0.810, 0.810, 0.000)

Computed properties:
Theoretical density in Mg/m³: 4.88
Symmetry: Cm (8)
Total DFT energy (no corrections) in eV for the cell shown: -9.35
ΔE_f (raw) in kJ per mole of atoms: -6.1
Distance to the lowest polymorph of the same formula in eV/atom: 0.014

=====

8.
Below is PuMg2GaRu2 after structural relaxation, with properties calculated at the PBE level.

Unit cell a=3.401 b=8.685 c=7.333 alpha=90.00 beta=90.00 gamma=90.00
Sites, in units of the cell vectors:
Pu (0.000, 0.105, 0.000)
Pu (0.000, 0.895, 0.500)
Mg (0.000, 0.325, 0.408)
Mg (0.000, 0.675, 0.908)
Mg (0.500, 0.437, 0.098)
Mg (0.500, 0.563, 0.598)
Ga (0.500, 0.184, 0.653)
Ga (0.500, 0.816, 0.153)
Ru (0.000, 0.365, 0.806)
Ru (0.000, 0.635, 0.306)
Ru (0.500, 0.092, 0.297)
Ru (0.500, 0.908, 0.797)

Computed properties:
Theoretical density in Mg/m³: 8.66
Symmetry: Pmc2_1 (26)
Calculated formation energy in eV/atom: -0.1958
Total DFT energy (no corrections) in eV for the cell shown: -80.55